# 1
A plane-wave DFT calculation with PBE-GGA was carried out for a relaxed structure of Rb2Be2H.

energy above the most stable polymorph in this dataset: 0.0 meV/atom
Fermi-level density of states: 5.33 states/eV per cell
volume: 278.0 Å³ per cell

a = 6.772 Å, b = 6.772 Å, c = 6.062 Å
α = 90.00°, β = 90.00°, γ = 90.00°
Element x y z (fractional)
Rb (0.000, 0.500, 0.250)
Rb (0.000, 0.500, 0.750)
Rb (0.500, 0.000, 0.250)
Rb (0.500, 0.000, 0.750)
Be (0.000, 0.000, 0.174)
Be (0.000, 0.000, 0.826)
Be (0.500, 0.500, 0.326)
Be (0.500, 0.500, 0.674)
H (0.000, 0.000, 0.500)
H (0.500, 0.500, 0.000)

***

# 2
A plane-wave DFT calculation with PBE-GGA was carried out for a relaxed structure of Rb6PtPb.

formation energy: -66 meV per atom
Fermi-level density of states: 10.29 states/eV per cell
volume: 1042.9 Å³ per cell

a = 4.776 Å, b = 14.233 Å, c = 15.342 Å
α = 90.00°, β = 90.00°, γ = 90.00°
Element x y z (fractional)
Rb (0.000, 0.000, 0.000)
Rb (0.000, 0.143, 0.699)
Rb (0.000, 0.357, 0.199)
Rb (0.000, 0.500, 0.500)
Rb (0.000, 0.643, 0.199)
Rb (0.000, 0.857, 0.699)
Rb (0.500, 0.000, 0.275)
Rb (0.500, 0.214, 0.466)
Rb (0.500, 0.286, 0.966)
Rb (0.500, 0.500, 0.775)
Rb (0.500, 0.714, 0.966)
Rb (0.500, 0.786, 0.466)
Pt (0.500, 0.000, 0.569)
Pt (0.500, 0.500, 0.069)
Pb (0.000, 0.000, 0.485)
Pb (0.000, 0.500, 0.985)

***

# 3
A plane-wave DFT calculation with PBE-GGA was carried out for a relaxed structure of NdScAg2.

formation energy: -220 meV per atom
energy above the most stable polymorph in this dataset: 37.8 meV/atom
Fermi-level density of states: 17.97 states/eV per cell
volume: 377.7 Å³ per cell

a = 7.228 Å, b = 7.228 Å, c = 7.228 Å
α = 90.00°, β = 90.00°, γ = 90.00°
Element x y z (fractional)
Nd (0.000, 0.000, 0.000)
Nd (0.000, 0.500, 0.500)
Nd (0.500, 0.000, 0.500)
Nd (0.500, 0.500, 0.000)
Sc (0.000, 0.000, 0.500)
Sc (0.000, 0.500, 0.000)
Sc (0.500, 0.000, 0.000)
Sc (0.500, 0.500, 0.500)
Ag (0.250, 0.250, 0.250)
Ag (0.250, 0.250, 0.750)
Ag (0.250, 0.750, 0.250)
Ag (0.250, 0.750, 0.750)
Ag (0.750, 0.250, 0.250)
Ag (0.750, 0.250, 0.750)
Ag (0.750, 0.750, 0.250)
Ag (0.750, 0.750, 0.750)

***

# 4
A plane-wave DFT calculation with PBE-GGA was carried out for a relaxed structure of TaIn2Rh.

formation energy: 93 meV per atom
Fermi-level density of states: 5.45 states/eV per cell
volume: 148.9 Å³ per cell

a = 4.151 Å, b = 4.151 Å, c = 8.638 Å
α = 90.00°, β = 90.00°, γ = 90.00°
Element x y z (fractional)
Ta (0.000, 0.000, 0.000)
Ta (0.500, 0.500, 0.500)
In (0.000, 0.000, 0.500)
In (0.000, 0.500, 0.750)
In (0.500, 0.000, 0.250)
In (0.500, 0.500, 0.000)
Rh (0.000, 0.500, 0.250)
Rh (0.500, 0.000, 0.750)

***

# 5
A plane-wave DFT calculation with PBE-GGA was carried out for a relaxed structure of MnGa2Cl6.

Fermi-level density of states: 0.00 states/eV per cell
E_form (uncorrected): -1.0125 eV per atom
volume: 631.7 Å³ per cell

a = 9.981 Å, b = 9.981 Å, c = 6.447 Å
α = 96.60°, β = 96.60°, γ = 84.64°
Element x y z (fractional)
Mn (0.004, 0.996, 0.750)
Mn (0.996, 0.004, 0.250)
Ga (0.332, 0.500, 0.728)
Ga (0.500, 0.332, 0.228)
Ga (0.500, 0.668, 0.772)
Ga (0.668, 0.500, 0.272)
Cl (0.002, 0.823, 0.464)
Cl (0.132, 0.542, 0.823)
Cl (0.177, 0.998, 0.036)
Cl (0.295, 0.416, 0.368)
Cl (0.416, 0.295, 0.868)
Cl (0.458, 0.868, 0.677)
Cl (0.542, 0.132, 0.323)
Cl (0.584, 0.705, 0.132)
Cl (0.705, 0.584, 0.632)
Cl (0.823, 0.002, 0.964)
Cl (0.868, 0.458, 0.177)
Cl (0.998, 0.177, 0.536)

***

# 6
A plane-wave DFT calculation with PBE-GGA was carried out for a relaxed structure of ZnInIr.

formation energy: -186 meV per atom
Fermi-level density of states: 4.18 states/eV per cell
volume: 237.8 Å³ per cell

a = 5.824 Å, b = 6.472 Å, c = 6.310 Å
α = 90.00°, β = 90.00°, γ = 90.00°
Element x y z (fractional)
Zn (0.000, 0.000, 0.000)
Zn (0.000, 0.500, 0.000)
Zn (0.500, 0.000, 0.500)
Zn (0.500, 0.500, 0.500)
In (0.000, 0.000, 0.500)
In (0.000, 0.500, 0.500)
In (0.500, 0.000, 0.000)
In (0.500, 0.500, 0.000)
Ir (0.250, 0.250, 0.250)
Ir (0.250, 0.750, 0.750)
Ir (0.750, 0.250, 0.250)
Ir (0.750, 0.750, 0.750)

***

# 7
A plane-wave DFT calculation with PBE-GGA was carried out for a relaxed structure of Er12Sb3N5.

Fermi-level density of states: 54.48 states/eV per cell
E_form (uncorrected): -1.0270 eV per atom
volume: 1837.7 Å³ per cell

a = 13.365 Å, b = 13.365 Å, c = 13.365 Å
α = 109.47°, β = 109.47°, γ = 109.47°
Element x y z (fractional)
Er (0.009, 0.196, 0.108)
Er (0.009, 0.313, 0.901)
Er (0.088, 0.696, 0.687)
Er (0.088, 0.892, 0.401)
Er (0.099, 0.608, 0.412)
Er (0.099, 0.991, 0.687)
Er (0.108, 0.009, 0.196)
Er (0.108, 0.599, 0.912)
Er (0.187, 0.196, 0.588)
Er (0.187, 0.491, 0.599)
Er (0.196, 0.108, 0.009)
Er (0.196, 0.588, 0.187)
Er (0.304, 0.313, 0.912)
Er (0.304, 0.491, 0.392)
Er (0.313, 0.901, 0.009)
Er (0.313, 0.912, 0.304)
Er (0.392, 0.304, 0.491)
Er (0.392, 0.588, 0.901)
Er (0.401, 0.088, 0.892)
Er (0.401, 0.813, 0.509)
Er (0.412, 0.099, 0.608)
Er (0.412, 0.813, 0.804)
Er (0.491, 0.392, 0.304)
Er (0.491, 0.599, 0.187)
Er (0.509, 0.401, 0.813)
Er (0.509, 0.608, 0.696)
Er (0.588, 0.187, 0.196)
Er (0.588, 0.901, 0.392)
Er (0.599, 0.187, 0.491)
Er (0.599, 0.912, 0.108)
Er (0.608, 0.412, 0.099)
Er (0.608, 0.696, 0.509)
Er (0.687, 0.088, 0.696)
Er (0.687, 0.099, 0.991)
Er (0.696, 0.509, 0.608)
Er (0.696, 0.687, 0.088)
Er (0.804, 0.412, 0.813)
Er (0.804, 0.892, 0.991)
Er (0.813, 0.509, 0.401)
Er (0.813, 0.804, 0.412)
Er (0.892, 0.401, 0.088)
Er (0.892, 0.991, 0.804)
Er (0.901, 0.009, 0.313)
Er (0.901, 0.392, 0.588)
Er (0.912, 0.108, 0.599)
Er (0.912, 0.304, 0.313)
Er (0.991, 0.687, 0.099)
Er (0.991, 0.804, 0.892)
Sb (0.125, 0.250, 0.375)
Sb (0.125, 0.375, 0.750)
Sb (0.250, 0.375, 0.125)
Sb (0.250, 0.875, 0.625)
Sb (0.375, 0.125, 0.250)
Sb (0.375, 0.750, 0.125)
Sb (0.625, 0.250, 0.875)
Sb (0.625, 0.875, 0.750)
Sb (0.750, 0.125, 0.375)
Sb (0.750, 0.625, 0.875)
Sb (0.875, 0.625, 0.250)
Sb (0.875, 0.750, 0.625)
N (0.000, 0.000, 0.000)
N (0.000, 0.000, 0.500)
N (0.000, 0.500, 0.000)
N (0.000, 0.500, 0.500)
N (0.125, 0.750, 0.875)
N (0.125, 0.875, 0.250)
N (0.250, 0.125, 0.875)
N (0.250, 0.625, 0.375)
N (0.375, 0.250, 0.625)
N (0.375, 0.625, 0.750)
N (0.500, 0.000, 0.000)
N (0.500, 0.000, 0.500)
N (0.500, 0.500, 0.000)
N (0.500, 0.500, 0.500)
N (0.625, 0.375, 0.250)
N (0.625, 0.750, 0.375)
N (0.750, 0.375, 0.625)
N (0.750, 0.875, 0.125)
N (0.875, 0.125, 0.750)
N (0.875, 0.250, 0.125)

***

# 8
A plane-wave DFT calculation with PBE-GGA was carried out for a relaxed structure of Na2LiMg.

formation energy: 87 meV per atom
Fermi-level density of states: 1.47 states/eV per cell
volume: 111.9 Å³ per cell

a = 4.610 Å, b = 4.610 Å, c = 5.267 Å
α = 90.00°, β = 90.00°, γ = 90.00°
Element x y z (fractional)
Na (0.000, 0.500, 0.000)
Na (0.500, 0.000, 0.000)
Li (0.000, 0.000, 0.500)
Mg (0.500, 0.500, 0.500)